(1)
A relaxed K7Cl3O2 crystal, computed with PBE.

Formation energy (no corrections) = -1.48 eV/atom
Total moment = 0.00 μB per formula unit
Distance to the lowest polymorph of the same formula = 0 meV/atom

abc: 13.7034 13.7034 13.7034
angles: 158.15 158.15 31.10
With the nearest neighbours (Å) after each atom.
Element x y z (fractional)
1 K 0.0000 0.0000 0.0000  2 O 2.64
2 K 0.0979 0.5979 0.5000  2 O 2.60
3 K 0.1960 0.1960 0.0000  1 O 2.54
4 K 0.4021 0.9021 0.5000  2 O 2.60
5 K 0.5979 0.0979 0.5000  2 O 2.60
6 K 0.8040 0.8040 0.0000  1 O 2.54
7 K 0.9021 0.4021 0.5000  2 O 2.60
8 Cl 0.3160 0.3160 0.0000  5 K 3.17-3.45
9 Cl 0.5000 0.5000 0.0000  12 K 3.66-3.67
10 Cl 0.6840 0.6840 0.0000  5 K 3.17-3.45
11 O 0.0999 0.0999 0.0000  6 K 2.54-2.64
12 O 0.9001 0.9001 0.0000  6 K 2.54-2.64

=====

(2)
A relaxed K2ClO crystal, computed with PBE.

Formation energy (no corrections) = -1.13 eV/atom
Total moment = 1.00 μB per formula unit
Distance to the lowest polymorph of the same formula = 40 meV/atom

abc: 5.1375 5.1375 5.1375
angles: 60.00 60.00 60.00
With the nearest neighbours (Å) after each atom.
Element x y z (fractional)
1 K 0.2500 0.2500 0.2500  4 O 3.15, 4 Cl 3.15
2 K 0.7500 0.7500 0.7500  4 Cl 3.15, 4 O 3.15
3 Cl 0.0000 0.0000 0.0000  8 K 3.15
4 O 0.5000 0.5000 0.5000  8 K 3.15

=====

(3)
A relaxed K3ClO crystal, computed with PBE.

Formation energy (no corrections) = -1.38 eV/atom
Total moment = 0.08 μB per formula unit

abc: 7.7586 7.7586 8.5275
angles: 96.11 96.11 37.49
With the nearest neighbours (Å) after each atom.
Element x y z (fractional)
1 K 0.0480 0.0480 0.1788  2 O 2.65
2 K 0.1602 0.1602 0.6297  1 O 2.54
3 K 0.3226 0.3226 0.0120  3 O 2.64-2.85
4 K 0.6774 0.6774 0.9880  3 O 2.64-2.85
5 K 0.8398 0.8398 0.3703  1 O 2.54
6 K 0.9520 0.9520 0.8212  2 O 2.65
7 Cl 0.3709 0.3709 0.6145  5 K 3.11-3.25
8 Cl 0.6291 0.6291 0.3855  5 K 3.11-3.25
9 O 0.1301 0.1301 0.9172  5 K 2.54-2.65
10 O 0.8699 0.8699 0.0828  5 K 2.54-2.65

=====

(4)
A relaxed K8ClO4 crystal, computed with PBE.

Formation energy (no corrections) = -1.13 eV/atom
Total moment = 1.08 μB per formula unit
Distance to the lowest polymorph of the same formula = 0 meV/atom

abc: 8.0701 8.0701 10.0917
angles: 125.82 125.82 60.22
With the nearest neighbours (Å) after each atom.
Element x y z (fractional)
1 K 0.0081 0.0081 0.1801  3 O 2.56-2.65
2 K 0.0243 0.4889 0.1757  3 O 2.62-2.73
3 K 0.4820 0.4820 0.1517  3 O 2.66-2.68
4 K 0.4889 0.0243 0.1757  3 O 2.62-2.73
5 K 0.5111 0.9757 0.8243  3 O 2.62-2.73
6 K 0.5180 0.5180 0.8483  3 O 2.66-2.68
7 K 0.9757 0.5111 0.8243  3 O 2.62-2.73
8 K 0.9919 0.9919 0.8199  3 O 2.56-2.65
9 Cl 0.5000 0.5000 0.5000  6 K 3.28-3.35
10 O 0.2264 0.2264 0.9539  6 K 2.56-2.73
11 O 0.2458 0.7542 0.0000  6 K 2.65-2.72
12 O 0.7542 0.2458 0.0000  6 K 2.65-2.72
13 O 0.7736 0.7736 0.0461  6 K 2.56-2.73

=====

(5)
A relaxed K2ClO2 crystal, computed with PBE.

Formation energy (no corrections) = -1.24 eV/atom
Total moment = 1.00 μB per formula unit
Distance to the lowest polymorph of the same formula = 0 meV/atom

abc: 5.4083 5.4083 5.2362
angles: 118.76 118.76 57.49
With the nearest neighbours (Å) after each atom.
Element x y z (fractional)
1 K 0.2474 0.2474 0.2472  4 O 2.90-2.94
2 K 0.7526 0.7526 0.7528  4 O 2.90-2.94
3 Cl 0.0000 0.0000 0.5000  8 K 3.27-3.28, 2 O 3.29
4 O 0.4145 0.4145 0.9145  1 O 1.36
5 O 0.5855 0.5855 0.0855  1 O 1.36

=====

(6)
A relaxed K8ClO4 crystal, computed with PBE.

Formation energy (no corrections) = -1.11 eV/atom
Total moment = 1.10 μB per formula unit
Distance to the lowest polymorph of the same formula = 19 meV/atom

abc: 8.2979 8.2979 8.2979
angles: 60.00 60.00 60.00
With the nearest neighbours (Å) after each atom.
Element x y z (fractional)
1 K 0.0562 0.6479 0.6479  3 O 2.66
2 K 0.1018 0.1018 0.1018  3 O 2.72, 1 Cl 3.01
3 K 0.1018 0.1018 0.6945  3 O 2.72, 1 Cl 3.01
4 K 0.1018 0.6945 0.1018  3 O 2.72, 1 Cl 3.01
5 K 0.6479 0.0562 0.6479  3 O 2.66
6 K 0.6479 0.6479 0.0562  3 O 2.66
7 K 0.6479 0.6479 0.6479  3 O 2.66
8 K 0.6945 0.1018 0.1018  3 O 2.72, 1 Cl 3.01
9 Cl 0.2500 0.2500 0.2500  4 K 3.01
10 O 0.3816 0.8728 0.8728  6 K 2.66-2.72
11 O 0.8728 0.3816 0.8728  6 K 2.66-2.72
12 O 0.8728 0.8728 0.3816  6 K 2.66-2.72
13 O 0.8728 0.8728 0.8728  6 K 2.66-2.72

=====

(7)
A relaxed K7Cl2O2 crystal, computed with PBE.

Formation energy (no corrections) = -1.16 eV/atom
Total moment = 0.00 μB per formula unit

abc: 6.8431 6.8431 7.5310
angles: 90.00 90.00 97.22
With the nearest neighbours (Å) after each atom.
Element x y z (fractional)
1 K 0.0000 0.0000 0.0000  2 O 2.89
2 K 0.0000 0.5000 0.2202  2 O 2.82
3 K 0.0000 0.5000 0.7798  2 O 2.82
4 K 0.5000 0.0000 0.2202  2 O 2.82
5 K 0.5000 0.0000 0.7798  2 O 2.82
6 K 0.5000 0.5000 0.2060  2 O 2.73
7 K 0.5000 0.5000 0.7940  2 O 2.73
8 Cl 0.2562 0.2562 0.5000  6 K 3.13-3.32
9 Cl 0.7438 0.7438 0.5000  6 K 3.13-3.32
10 O 0.2812 0.7188 0.0000  7 K 2.73-2.89
11 O 0.7188 0.2812 0.0000  7 K 2.73-2.89

=====

(8)
A relaxed K2ClO crystal, computed with PBE.

Formation energy (no corrections) = -1.17 eV/atom
Total moment = 1.00 μB per formula unit
Distance to the lowest polymorph of the same formula = 0 meV/atom

abc: 8.1310 8.1310 8.1310
angles: 132.82 132.82 68.93
With the nearest neighbours (Å) after each atom.
Element x y z (fractional)
1 K 0.0719 0.6250 0.9469  2 O 2.66
2 K 0.3750 0.3219 0.4469  2 O 2.66
3 K 0.6781 0.1250 0.0531  2 O 2.66
4 K 0.8750 0.9281 0.5531  2 O 2.66
5 Cl 0.2500 0.7500 0.5000  4 K 3.06
6 Cl 0.5000 0.5000 0.0000  4 K 3.06
7 O 0.0000 0.0000 0.0000  4 K 2.66
8 O 0.7500 0.2500 0.5000  4 K 2.66